Record 1
A relaxed structure of YIr2N. Source: the Alexandria database, functional PBE.

Cell lengths 4.8780, 4.8780, 12.7455 Å; angles 90.00, 90.00, 90.00 degrees
Closest atoms and distances in Å follow each position.
Element x y z (fractional)
1 Y 0.0000 0.0000 0.0000  4 Ir 2.92
2 Y 0.0000 0.5000 0.2500  4 Ir 2.92
3 Y 0.5000 0.0000 0.7500  4 Ir 2.92
4 Y 0.5000 0.5000 0.5000  4 Ir 2.92
5 Ir 0.0663 0.2500 0.6250  2 N 2.03
6 Ir 0.2500 0.5663 0.8750  2 N 2.03
7 Ir 0.2500 0.9337 0.3750  2 N 2.03
8 Ir 0.4337 0.2500 0.1250  2 N 2.03
9 Ir 0.5663 0.7500 0.1250  2 N 2.03
10 Ir 0.7500 0.0663 0.3750  2 N 2.03
11 Ir 0.7500 0.4337 0.8750  2 N 2.03
12 Ir 0.9337 0.7500 0.6250  2 N 2.03
13 N 0.0000 0.0000 0.5000  4 Ir 2.03
14 N 0.0000 0.5000 0.7500  4 Ir 2.03
15 N 0.5000 0.0000 0.2500  4 Ir 2.03
16 N 0.5000 0.5000 0.0000  4 Ir 2.03

Summary:
SG: I-42d


Record 2
A relaxed structure of Y3IrN. Source: the Alexandria database, functional PBE.

Cell lengths 4.6939, 4.6939, 4.6939 Å; angles 90.00, 90.00, 90.00 degrees
Closest atoms and distances in Å follow each position.
Element x y z (fractional)
1 Y 0.0000 0.0000 0.5000  2 N 2.35
2 Y 0.0000 0.5000 0.0000  2 N 2.35
3 Y 0.5000 0.0000 0.0000  2 N 2.35
4 Ir 0.5000 0.5000 0.5000  12 Y 3.32
5 N 0.0000 0.0000 0.0000  6 Y 2.35

Summary:
SG: Pm-3m


Record 3
A relaxed structure of YIrN3. Source: the Alexandria database, functional PBE.

Cell lengths 4.2441, 4.2441, 4.2441 Å; angles 90.00, 90.00, 90.00 degrees
Closest atoms and distances in Å follow each position.
Element x y z (fractional)
1 Y 0.0000 0.0000 0.0000  6 N 2.12
2 Ir 0.5000 0.5000 0.5000  12 N 3.00
3 N 0.0000 0.0000 0.5000  2 Y 2.12
4 N 0.0000 0.5000 0.0000  2 Y 2.12
5 N 0.5000 0.0000 0.0000  2 Y 2.12

Summary:
SG: Pm-3m


Record 4
A relaxed structure of Y12Ir3N5. Source: the Alexandria database, functional PBE.

Cell lengths 13.1913, 13.1913, 13.1913 Å; angles 109.47, 109.47, 109.47 degrees
Closest atoms and distances in Å follow each position.
Element x y z (fractional)
1 Y 0.0236 0.2053 0.1215  2 N 2.24-2.49
2 Y 0.0236 0.3183 0.9021  2 N 2.24-2.49
3 Y 0.0838 0.7053 0.6817  2 N 2.24-2.49
4 Y 0.0838 0.8785 0.4021  2 N 2.24-2.49
5 Y 0.0979 0.6215 0.4162  2 N 2.24-2.49
6 Y 0.0979 0.9764 0.6817  2 N 2.24-2.49
7 Y 0.1215 0.0236 0.2053  2 N 2.24-2.49
8 Y 0.1215 0.5979 0.9162  2 N 2.24-2.49
9 Y 0.1817 0.2053 0.5838  2 N 2.24-2.49
10 Y 0.1817 0.4764 0.5979  2 N 2.24-2.49
11 Y 0.2053 0.1215 0.0236  2 N 2.24-2.49
12 Y 0.2053 0.5838 0.1817  2 N 2.24-2.49
13 Y 0.2947 0.3183 0.9162  2 N 2.24-2.49
14 Y 0.2947 0.4764 0.3785  2 N 2.24-2.49
15 Y 0.3183 0.9021 0.0236  2 N 2.24-2.49
16 Y 0.3183 0.9162 0.2947  2 N 2.24-2.49
17 Y 0.3785 0.2947 0.4764  2 N 2.24-2.49
18 Y 0.3785 0.5838 0.9021  2 N 2.24-2.49
19 Y 0.4021 0.0838 0.8785  2 N 2.24-2.49
20 Y 0.4021 0.8183 0.5236  2 N 2.24-2.49
21 Y 0.4162 0.0979 0.6215  2 N 2.24-2.49
22 Y 0.4162 0.8183 0.7947  2 N 2.24-2.49
23 Y 0.4764 0.3785 0.2947  2 N 2.24-2.49
24 Y 0.4764 0.5979 0.1817  2 N 2.24-2.49
25 Y 0.5236 0.4021 0.8183  2 N 2.24-2.49
26 Y 0.5236 0.6215 0.7053  2 N 2.24-2.49
27 Y 0.5838 0.1817 0.2053  2 N 2.24-2.49
28 Y 0.5838 0.9021 0.3785  2 N 2.24-2.49
29 Y 0.5979 0.1817 0.4764  2 N 2.24-2.49
30 Y 0.5979 0.9162 0.1215  2 N 2.24-2.49
31 Y 0.6215 0.4162 0.0979  2 N 2.24-2.49
32 Y 0.6215 0.7053 0.5236  2 N 2.24-2.49
33 Y 0.6817 0.0838 0.7053  2 N 2.24-2.49
34 Y 0.6817 0.0979 0.9764  2 N 2.24-2.49
35 Y 0.7053 0.5236 0.6215  2 N 2.24-2.49
36 Y 0.7053 0.6817 0.0838  2 N 2.24-2.49
37 Y 0.7947 0.4162 0.8183  2 N 2.24-2.49
38 Y 0.7947 0.8785 0.9764  2 N 2.24-2.49
39 Y 0.8183 0.5236 0.4021  2 N 2.24-2.49
40 Y 0.8183 0.7947 0.4162  2 N 2.24-2.49
41 Y 0.8785 0.4021 0.0838  2 N 2.24-2.49
42 Y 0.8785 0.9764 0.7947  2 N 2.24-2.49
43 Y 0.9021 0.0236 0.3183  2 N 2.24-2.49
44 Y 0.9021 0.3785 0.5838  2 N 2.24-2.49
45 Y 0.9162 0.1215 0.5979  2 N 2.24-2.49
46 Y 0.9162 0.2947 0.3183  2 N 2.24-2.49
47 Y 0.9764 0.6817 0.0979  2 N 2.24-2.49
48 Y 0.9764 0.7947 0.8785  2 N 2.24-2.49
49 Ir 0.1250 0.2500 0.3750  8 Y 2.92-3.05
50 Ir 0.1250 0.3750 0.7500  8 Y 2.92-3.05
51 Ir 0.2500 0.3750 0.1250  8 Y 2.92-3.05
52 Ir 0.2500 0.8750 0.6250  8 Y 2.92-3.05
53 Ir 0.3750 0.1250 0.2500  8 Y 2.92-3.05
54 Ir 0.3750 0.7500 0.1250  8 Y 2.92-3.05
55 Ir 0.6250 0.2500 0.8750  8 Y 2.92-3.05
56 Ir 0.6250 0.8750 0.7500  8 Y 2.92-3.05
57 Ir 0.7500 0.1250 0.3750  8 Y 2.92-3.05
58 Ir 0.7500 0.6250 0.8750  8 Y 2.92-3.05
59 Ir 0.8750 0.6250 0.2500  8 Y 2.92-3.05
60 Ir 0.8750 0.7500 0.6250  8 Y 2.92-3.05
61 N 0.0000 0.0000 0.0000  6 Y 2.49
62 N 0.0000 0.0000 0.5000  6 Y 2.49
63 N 0.0000 0.5000 0.0000  6 Y 2.49
64 N 0.0000 0.5000 0.5000  6 Y 2.49
65 N 0.1250 0.7500 0.8750  4 Y 2.24
66 N 0.1250 0.8750 0.2500  4 Y 2.24
67 N 0.2500 0.1250 0.8750  4 Y 2.24
68 N 0.2500 0.6250 0.3750  4 Y 2.24
69 N 0.3750 0.2500 0.6250  4 Y 2.24
70 N 0.3750 0.6250 0.7500  4 Y 2.24
71 N 0.5000 0.0000 0.0000  6 Y 2.49
72 N 0.5000 0.0000 0.5000  6 Y 2.49
73 N 0.5000 0.5000 0.0000  6 Y 2.49
74 N 0.5000 0.5000 0.5000  6 Y 2.49
75 N 0.6250 0.3750 0.2500  4 Y 2.24
76 N 0.6250 0.7500 0.3750  4 Y 2.24
77 N 0.7500 0.3750 0.6250  4 Y 2.24
78 N 0.7500 0.8750 0.1250  4 Y 2.24
79 N 0.8750 0.1250 0.7500  4 Y 2.24
80 N 0.8750 0.2500 0.1250  4 Y 2.24

Summary:
SG: Ia-3d


Record 5
A relaxed structure of YIrN3. Source: the Alexandria database, functional PBE.

Cell lengths 3.8933, 3.8933, 3.8933 Å; angles 90.00, 90.00, 90.00 degrees
Closest atoms and distances in Å follow each position.
Element x y z (fractional)
1 Y 0.0000 0.0000 0.0000  12 N 2.75
2 Ir 0.5000 0.5000 0.5000  6 N 1.95
3 N 0.0000 0.5000 0.5000  2 Ir 1.95
4 N 0.5000 0.0000 0.5000  2 Ir 1.95
5 N 0.5000 0.5000 0.0000  2 Ir 1.95

Summary:
SG: Pm-3m


Record 6
A relaxed structure of Zn2IrN3. Source: the Alexandria database, functional PBE.

Cell lengths 5.7228, 5.7228, 5.3659 Å; angles 90.00, 90.00, 59.28 degrees
Closest atoms and distances in Å follow each position.
Element x y z (fractional)
1 Zn 0.0028 0.6599 0.5000  4 N 2.03-2.15
2 Zn 0.3401 0.9972 0.5000  4 N 2.03-2.15
3 Zn 0.6599 0.0028 0.0000  4 N 2.03-2.15
4 Zn 0.9972 0.3401 0.0000  4 N 2.03-2.15
5 Ir 0.3059 0.6941 0.0117  4 N 1.92-1.99
6 Ir 0.6941 0.3059 0.5117  4 N 1.92-1.99
7 N 0.0071 0.6715 0.8787  1 Ir 1.92, 3 Zn 2.03
8 N 0.3285 0.9929 0.8787  1 Ir 1.92, 3 Zn 2.03
9 N 0.3712 0.6288 0.3646  2 Ir 1.93-1.99, 2 Zn 2.15
10 N 0.6288 0.3712 0.8646  2 Ir 1.93-1.99, 2 Zn 2.15
11 N 0.6715 0.0071 0.3787  1 Ir 1.92, 3 Zn 2.03
12 N 0.9929 0.3285 0.3787  1 Ir 1.92, 3 Zn 2.03

Summary:
SG: Cmc2_1


Record 7
A relaxed structure of ZnIrN3. Source: the Alexandria database, functional PBE.

Cell lengths 3.7608, 3.7608, 3.7608 Å; angles 90.00, 90.00, 90.00 degrees
Closest atoms and distances in Å follow each position.
Element x y z (fractional)
1 Zn 0.0000 0.0000 0.0000  6 N 1.88
2 Ir 0.5000 0.5000 0.5000  12 N 2.66
3 N 0.0000 0.0000 0.5000  2 Zn 1.88
4 N 0.0000 0.5000 0.0000  2 Zn 1.88
5 N 0.5000 0.0000 0.0000  2 Zn 1.88

Summary:
SG: Pm-3m


Record 8
A relaxed structure of ZnIrN2. Source: the Alexandria database, functional PBE.

Cell lengths 3.1796, 3.1796, 17.2161 Å; angles 90.00, 90.00, 120.00 degrees
Closest atoms and distances in Å follow each position.
Element x y z (fractional)
1 Zn 0.0000 0.0000 0.0000  2 N 1.89
2 Zn 0.3333 0.6667 0.6667  2 N 1.89
3 Zn 0.6667 0.3333 0.3333  2 N 1.89
4 Ir 0.0000 0.0000 0.5000  6 N 2.08
5 Ir 0.3333 0.6667 0.1667  6 N 2.08
6 Ir 0.6667 0.3333 0.8333  6 N 2.08
7 N 0.0000 0.0000 0.1099  1 Zn 1.89, 3 Ir 2.08
8 N 0.0000 0.0000 0.8901  1 Zn 1.89, 3 Ir 2.08
9 N 0.3333 0.6667 0.5567  1 Zn 1.89, 3 Ir 2.08
10 N 0.3333 0.6667 0.7766  1 Zn 1.89, 3 Ir 2.08
11 N 0.6667 0.3333 0.2234  1 Zn 1.89, 3 Ir 2.08
12 N 0.6667 0.3333 0.4433  1 Zn 1.89, 3 Ir 2.08

Summary:
SG: R-3m


Record 9
A relaxed structure of ZnIrN3. Source: the Alexandria database, functional PBE.

Cell lengths 3.8683, 3.8683, 3.8683 Å; angles 90.00, 90.00, 90.00 degrees
Closest atoms and distances in Å follow each position.
Element x y z (fractional)
1 Zn 0.0000 0.0000 0.0000  12 N 2.74
2 Ir 0.5000 0.5000 0.5000  6 N 1.93
3 N 0.0000 0.5000 0.5000  2 Ir 1.93
4 N 0.5000 0.0000 0.5000  2 Ir 1.93
5 N 0.5000 0.5000 0.0000  2 Ir 1.93

Summary:
SG: Pm-3m


Record 10
A relaxed structure of ZnIr2N4. Source: the Alexandria database, functional PBE.

Cell lengths 3.9414, 3.9414, 11.4157 Å; angles 90.00, 90.00, 90.00 degrees
Closest atoms and distances in Å follow each position.
Element x y z (fractional)
1 Zn 0.0000 0.0000 0.0000  4 N 1.97
2 Zn 0.5000 0.5000 0.5000  4 N 1.97
3 Ir 0.0000 0.0000 0.3803  1 N 1.72
4 Ir 0.0000 0.0000 0.6197  1 N 1.72
5 Ir 0.5000 0.5000 0.1197  1 N 1.72
6 Ir 0.5000 0.5000 0.8803  1 N 1.72
7 N 0.0000 0.0000 0.2300  1 Ir 1.72
8 N 0.0000 0.0000 0.7700  1 Ir 1.72
9 N 0.0000 0.5000 0.0000  2 Zn 1.97
10 N 0.0000 0.5000 0.5000  2 Zn 1.97
11 N 0.5000 0.0000 0.0000  2 Zn 1.97
12 N 0.5000 0.0000 0.5000  2 Zn 1.97
13 N 0.5000 0.5000 0.2700  1 Ir 1.72
14 N 0.5000 0.5000 0.7300  1 Ir 1.72

Summary:
SG: I4/mmm


Number 1: size of the total moment 0.0 μB/cell, uncorrected formation energy 0.01 eV per atom, DOS at the Fermi energy 3.0 states/eV per cell. Number 2: size of the total moment 0.0 μB/cell, uncorrected formation energy -0.86 eV per atom, DOS at the Fermi energy 5.8 states/eV per cell. Number 3: size of the total moment 0.0 μB/cell, uncorrected formation energy 2.19 eV per atom, DOS at the Fermi energy 3.7 states/eV per cell. Number 4: size of the total moment 0.0 μB/cell, uncorrected formation energy -0.99 eV per atom, DOS at the Fermi energy 52.9 states/eV per cell. Number 5: size of the total moment 0.0 μB/cell, uncorrected formation energy 0.21 eV per atom, DOS at the Fermi energy 4.0 states/eV per cell. Number 6: size of the total moment 0.0 μB/cell, uncorrected formation energy 0.42 eV per atom, DOS at the Fermi energy 1.6 states/eV per cell. Number 7: size of the total moment 0.0 μB/cell, uncorrected formation energy 2.39 eV per atom, DOS at the Fermi energy 4.9 states/eV per cell. Number 8: size of the total moment 0.0 μB/cell, uncorrected formation energy 0.55 eV per atom, DOS at the Fermi energy 8.1 states/eV per cell. Number 9: size of the total moment 0.0 μB/cell, uncorrected formation energy 1.44 eV per atom, DOS at the Fermi energy 3.3 states/eV per cell. Number 10: size of the total moment 0.0 μB/cell, uncorrected formation energy 1.54 eV per atom, DOS at the Fermi energy 8.0 states/eV per cell.